Record 1
Tb2PrNdTm2 | PBE | relaxed

Results
Raw total energy ... -4.3475 eV/atom

Cell lengths 6.5499, 17.9832, 3.4159 Å; angles 90.00, 90.00, 90.00 degrees
Space group Pnnm (No. 58)
Unique sites:
1 Tb 0.2211 0.1883 0.0000
2 Pr 0.0000 0.0000 0.0000
3 Nd 0.0000 0.5000 0.0000
4 Tm 0.2199 0.3509 0.5000

Record 2
Tb6Pr2NdTm3 | PBE | relaxed

Results
Raw total energy ... -4.6054 eV/atom

Cell lengths 6.2032, 10.7408, 11.8500 Å; angles 90.00, 100.04, 90.00 degrees
Space group C2/m (No. 12)
Unique sites:
1 Tb 0.2469 0.0000 0.2439
2 Tb 0.2472 0.3334 0.2440
3 Pr 0.0000 0.3334 0.5000
4 Nd 0.0000 0.0000 0.5000
5 Tm 0.0000 0.1667 0.0000
6 Tm 0.0000 0.5000 0.0000

Record 3
Tb2Pr2NdTm | PBE | relaxed

Results
Raw total energy ... -4.6158 eV/atom

Cell lengths 7.0899, 5.7124, 9.9008 Å; angles 90.00, 90.00, 90.00 degrees
Space group Pmma (No. 51)
Unique sites:
1 Tb 0.2500 0.0000 0.1636
2 Tb 0.2500 0.5000 0.6697
3 Pr 0.0000 0.5000 0.0000
4 Pr 0.2500 0.0000 0.8211
5 Nd 0.2500 0.5000 0.3444
6 Tm 0.0000 0.0000 0.5000

Record 4
Tb6Pr2NdTm | PBE | relaxed

Results
Raw total energy ... -4.5427 eV/atom

Cell lengths 9.1041, 15.1201, 9.7829 Å; angles 90.00, 98.78, 90.00 degrees
Space group C2/c (No. 15)
Unique sites:
1 Tb 0.0682 0.1908 0.4429
2 Tb 0.0982 0.3938 0.6190
3 Tb 0.2046 0.2229 0.8124
4 Pr 0.2464 0.0505 0.0428
5 Nd 0.0000 0.0172 0.7500
6 Tm 0.0000 0.4072 0.2500

Record 5
TbPr3NdTm | PBE | relaxed

Results
Raw total energy ... -4.5938 eV/atom

Cell lengths 5.9529, 11.6469, 11.8965 Å; angles 90.00, 90.00, 90.00 degrees
Space group Cmcm (No. 63)
Unique sites:
1 Tb 0.0000 0.0220 0.2500
2 Pr 0.0000 0.1730 0.5241
3 Pr 0.0000 0.3294 0.2500
4 Nd 0.0000 0.5000 0.0000
5 Tm 0.0000 0.3535 0.7500

Record 6
TbPrNd6Tm2 | PBE | relaxed

Results
Raw total energy ... -4.5819 eV/atom

Cell lengths 9.3102, 15.2695, 9.7482 Å; angles 90.00, 97.91, 90.00 degrees
Space group C2/c (No. 15)
Unique sites:
1 Tb 0.0000 0.0306 0.2500
2 Pr 0.0000 0.4064 0.7500
3 Nd 0.0653 0.1747 0.9448
4 Nd 0.0969 0.3924 0.1199
5 Nd 0.2098 0.2256 0.3174
6 Tm 0.2442 0.0478 0.5473

Record 7
TbPr2NdTm5 | PBE | relaxed

Results
Raw total energy ... -4.3326 eV/atom

Cell lengths 8.6054, 8.6054, 15.6542 Å; angles 90.00, 90.00, 90.00 degrees
Space group I4/mcm (No. 140)
Unique sites:
1 Tb 0.0000 0.0000 0.2500
2 Pr 0.1186 0.3814 0.0000
3 Nd 0.0000 0.5000 0.2500
4 Tm 0.0000 0.0000 0.0000
5 Tm 0.2109 0.2891 0.3601

Record 8
Tb2PrNd5Tm | PBE | relaxed

Results
Raw total energy ... -4.5651 eV/atom

Cell lengths 5.6789, 20.4879, 10.8005 Å; angles 90.00, 90.00, 90.00 degrees
Space group Cmc2_1 (No. 36)
Unique sites:
1 Tb 0.0000 0.1102 0.0000
2 Tb 0.0000 0.1162 0.5783
3 Pr 0.0000 0.2018 0.2712
4 Nd 0.0000 0.0160 0.2838
5 Nd 0.0000 0.2812 0.5705
6 Nd 0.0000 0.2966 0.9656
7 Nd 0.0000 0.3913 0.2871
8 Nd 0.0000 0.4805 0.0057
9 Tm 0.0000 0.4094 0.7231